Below is PrTm3In3 after structural relaxation, with properties calculated at the PBE level.

POSCAR file:
```
PrTm3In3
1.0
9.2964 0.0000 0.0000
0.0000 9.2964 0.0000
0.0000 0.0000 9.2964
Pr Tm In
4 12 12
Cartesian
0.4484 4.1997 5.0966
4.1997 5.0966 0.4484
5.0966 0.4484 4.1997
8.8479 8.8479 8.8479
1.1100 5.7582 8.1863
1.5662 1.5662 1.5662
1.8567 7.4397 2.7915
2.7915 1.8567 7.4397
3.0820 7.7302 6.2144
3.5381 3.5381 3.5381
5.7582 8.1863 1.1100
6.2144 3.0820 7.7302
6.5048 6.5048 6.5048
7.4397 2.7915 1.8567
7.7302 6.2144 3.0820
8.1863 1.1100 5.7582
0.0445 7.4625 5.5648
0.9166 4.6036 1.8338
1.8338 0.9166 4.6036
2.8143 8.3797 9.2518
3.7316 4.6927 6.4820
4.6036 1.8338 0.9166
4.6927 6.4820 3.7316
5.5648 0.0445 7.4625
6.4820 3.7316 4.6927
7.4625 5.5648 0.0445
8.3797 9.2518 2.8143
9.2518 2.8143 8.3797
```

Computed properties:
**D(E_F)**: 0.846 states/eV per atom
**Formation energy**: -0.31 eV per atom
**Polymorph energy (0 for the lowest one)**: 28.9 kJ/mol of formula units
**Size of the total moment**: 0.0 μB/f.u.

Below is PrTm6In6 after structural relaxation, with properties calculated at the PBE level.

POSCAR file:
```
PrTm6In6
1.0
6.1980 0.0000 0.0000
-3.0990 5.3677 0.0000
0.0000 0.0000 10.6906
Pr Tm In
1 6 6
Cartesian
0.0000 0.0000 0.0000
0.0000 0.0000 3.6684
0.0000 0.0000 7.0222
0.0000 3.5784 0.0000
0.0000 3.5784 5.3453
3.0990 1.7892 0.0000
3.0990 1.7892 5.3453
-1.5495 2.6838 2.6229
-1.5495 2.6838 8.0677
3.0990 0.0000 2.6229
3.0990 0.0000 8.0677
1.5495 2.6838 2.6229
1.5495 2.6838 8.0677
```

Computed properties:
**D(E_F)**: 0.983 states/eV per atom
**Formation energy**: -0.32 eV per atom
**Size of the total moment**: 0.0 μB/f.u.

Below is PrTmIn4 after structural relaxation, with properties calculated at the PBE level.

POSCAR file:
```
PrTmIn4
1.0
0.0000 4.2741 4.2741
4.2741 0.0000 4.2741
4.2741 4.2741 0.0000
Pr Tm In
1 1 4
Cartesian
0.0000 0.0000 0.0000
2.1371 2.1371 2.1371
5.3419 3.2064 3.2064
3.2064 5.3419 3.2064
3.2064 3.2064 5.3419
5.3419 5.3419 5.3419
```

Computed properties:
**D(E_F)**: 0.753 states/eV per atom
**Formation energy**: -0.34 eV per atom
**Polymorph energy (0 for the lowest one)**: 0.0 kJ/mol of formula units
**Size of the total moment**: 0.0 μB/f.u.

Below is Pr5TmIn2 after structural relaxation, with properties calculated at the PBE level.

POSCAR file:
```
Pr5TmIn2
1.0
7.0614 0.0000 0.0000
0.0000 14.1365 0.0000
0.0000 0.0000 4.9784
Pr Tm In
10 2 4
Cartesian
0.0000 0.0000 0.0000
0.0161 3.5858 0.0000
1.7594 12.3919 2.4892
1.7713 5.3237 2.4892
3.5146 10.6540 0.0000
3.5307 7.0682 0.0000
3.5468 3.4824 0.0000
5.2901 8.8128 2.4892
5.3020 1.7445 2.4892
7.0453 10.5507 0.0000
0.0000 7.0682 0.0000
3.5307 0.0000 0.0000
1.7231 8.7970 2.4892
1.8076 1.7288 2.4892
5.2538 12.4077 2.4892
5.3383 5.3394 2.4892
```

Computed properties:
**D(E_F)**: 1.421 states/eV per atom
**Formation energy**: -0.27 eV per atom
**Size of the total moment**: 0.0 μB/f.u.

Below is Pr4Tm9In11 after structural relaxation, with properties calculated at the PBE level.

POSCAR file:
```
Pr4Tm9In11
1.0
8.0676 -11.7464 0.0000
8.0676 11.7464 0.0000
0.0000 0.0000 3.4347
Pr Tm In
4 9 11
Cartesian
2.8622 1.8942 0.0000
2.8622 -1.8942 0.0000
13.2731 1.8942 0.0000
13.2731 -1.8942 0.0000
0.0000 0.0000 0.0000
6.2833 6.5582 0.0000
6.3828 2.3274 0.0000
9.8520 6.5582 0.0000
6.3828 -2.3274 0.0000
9.7525 2.3274 0.0000
6.2833 -6.5582 0.0000
9.7525 -2.3274 0.0000
9.8520 -6.5582 0.0000
4.4792 4.3775 1.7174
8.0676 8.8861 1.7174
4.9715 0.0000 1.7174
8.0676 4.4892 1.7174
4.4792 -4.3775 1.7174
8.0676 0.0000 1.7174
11.6561 4.3775 1.7174
8.0676 -4.4892 1.7174
11.1638 0.0000 1.7174
8.0676 -8.8861 1.7174
11.6561 -4.3775 1.7174
```

Computed properties:
**D(E_F)**: 0.844 states/eV per atom
**Formation energy**: -0.37 eV per atom
**Size of the total moment**: 0.0 μB/f.u.

Below is Pr6TmIn6 after structural relaxation, with properties calculated at the PBE level.

POSCAR file:
```
Pr6TmIn6
1.0
6.4305 0.0000 0.0000
-3.2153 5.5690 0.0000
0.0000 0.0000 11.1673
Pr Tm In
6 1 6
Cartesian
0.0000 0.0000 1.9107
0.0000 0.0000 9.2566
0.0000 3.7127 0.0000
0.0000 3.7127 5.5836
3.2153 1.8563 0.0000
3.2153 1.8563 5.5836
0.0000 0.0000 5.5836
-1.6076 2.7845 2.8274
-1.6076 2.7845 8.3398
3.2153 0.0000 2.8274
3.2153 0.0000 8.3398
1.6076 2.7845 2.8274
1.6076 2.7845 8.3398
```

Computed properties:
**D(E_F)**: 1.093 states/eV per atom
**Formation energy**: -0.32 eV per atom
**Size of the total moment**: 1.6 μB/f.u.

Below is Pr4Tm5In after structural relaxation, with properties calculated at the PBE level.

POSCAR file:
```
Pr4Tm5In
1.0
3.6181 0.0000 0.0000
0.0000 3.6181 0.0000
0.0000 0.0000 24.2157
Pr Tm In
4 5 1
Cartesian
0.0000 0.0000 2.5070
0.0000 0.0000 7.5831
0.0000 0.0000 16.6325
0.0000 0.0000 21.7086
1.8091 1.8091 0.0000
1.8091 1.8091 5.0095
1.8091 1.8091 10.0889
1.8091 1.8091 14.1267
1.8091 1.8091 19.2062
0.0000 0.0000 12.1078
```

Computed properties:
**D(E_F)**: 1.212 states/eV per atom
**Formation energy**: -0.08 eV per atom
**Polymorph energy (0 for the lowest one)**: 0.0 kJ/mol of formula units
**Size of the total moment**: 0.0 μB/f.u.

Below is Pr4TmIn2 after structural relaxation, with properties calculated at the PBE level.

POSCAR file:
```
Pr4TmIn2
1.0
6.0015 0.0000 0.0000
0.0000 6.0015 0.0000
0.0000 0.0000 13.0080
Pr Tm In
8 2 4
Cartesian
0.0000 3.0008 0.0000
0.0000 3.0008 3.2520
0.0000 3.0008 6.5040
0.0000 3.0008 9.7560
3.0008 0.0000 0.0000
3.0008 0.0000 3.2520
3.0008 0.0000 6.5040
3.0008 0.0000 9.7560
0.0000 0.0000 0.0000
3.0008 3.0008 6.5040
0.0000 0.0000 4.9179
0.0000 0.0000 8.0901
3.0008 3.0008 1.5861
3.0008 3.0008 11.4219
```

Computed properties:
**D(E_F)**: 1.421 states/eV per atom
**Formation energy**: 0.09 eV per atom
**Polymorph energy (0 for the lowest one)**: 69.0 kJ/mol of formula units
**Size of the total moment**: 0.0 μB/f.u.

Below is Pr2Tm2In3 after structural relaxation, with properties calculated at the PBE level.

POSCAR file:
```
Pr2Tm2In3
1.0
4.6704 0.0000 0.0000
0.0000 24.9890 0.0000
0.0000 0.0000 3.4365
Pr Tm In
4 4 6
Cartesian
0.0000 1.8309 0.0000
0.0000 23.1580 0.0000
2.3352 10.6635 0.0000
2.3352 14.3254 0.0000
0.0000 5.1247 0.0000
0.0000 19.8643 0.0000
2.3352 7.3698 0.0000
2.3352 17.6192 0.0000
0.0000 8.6461 1.7183
0.0000 12.4945 1.7183
0.0000 16.3429 1.7183
2.3352 0.0000 1.7183
2.3352 3.8484 1.7183
2.3352 21.1406 1.7183
```

Computed properties:
**D(E_F)**: 0.954 states/eV per atom
**Formation energy**: -0.30 eV per atom
**Polymorph energy (0 for the lowest one)**: 0.0 kJ/mol of formula units
**Size of the total moment**: 0.0 μB/f.u.

Below is PrTm4In5 after structural relaxation, with properties calculated at the PBE level.

POSCAR file:
```
PrTm4In5
1.0
3.7334 0.0000 0.0000
0.0000 3.7334 0.0000
0.0000 0.0000 18.9950
Pr Tm In
1 4 5
Cartesian
0.0000 0.0000 0.0000
0.0000 0.0000 3.9533
0.0000 0.0000 7.6528
0.0000 0.0000 11.3422
0.0000 0.0000 15.0416
1.8667 1.8667 2.1175
1.8667 1.8667 5.8076
1.8667 1.8667 9.4975
1.8667 1.8667 13.1874
1.8667 1.8667 16.8775
```

Computed properties:
**D(E_F)**: 0.565 states/eV per atom
**Formation energy**: -0.44 eV per atom
**Size of the total moment**: 0.0 μB/f.u.

Below is PrTm6In after structural relaxation, with properties calculated at the PBE level.

POSCAR file:
```
PrTm6In
1.0
3.3479 1.9329 8.0553
-3.3479 1.9329 8.0553
0.0000 -3.8658 8.0553
Pr Tm In
1 6 1
Cartesian
0.0000 0.0000 0.0000
-1.6688 -0.9635 9.7121
0.0000 -1.9270 14.4540
-1.6688 0.9635 14.4540
1.6688 -0.9635 9.7121
0.0000 1.9270 9.7121
1.6688 0.9635 14.4540
0.0000 0.0000 12.0830
```

Computed properties:
**D(E_F)**: 1.907 states/eV per atom
**Formation energy**: 0.54 eV per atom
**Polymorph energy (0 for the lowest one)**: 493.6 kJ/mol of formula units
**Size of the total moment**: 1.4 μB/f.u.

Below is PrTm5In2 after structural relaxation, with properties calculated at the PBE level.

POSCAR file:
```
PrTm5In2
1.0
2.5008 -5.7507 0.0000
2.5008 5.7507 0.0000
0.0000 0.0000 16.8697
Pr Tm In
2 10 4
Cartesian
2.5008 3.1963 12.6523
2.5008 -3.1963 4.2174
2.5008 5.0908 4.2174
2.5008 4.1568 9.0935
2.5008 4.1568 16.2110
2.5008 0.5741 10.1457
2.5008 0.5741 15.1589
2.5008 -0.5741 1.7108
2.5008 -0.5741 6.7240
2.5008 -4.1568 0.6586
2.5008 -4.1568 7.7762
2.5008 -5.0908 12.6523
2.5008 2.7573 2.1233
2.5008 2.7573 6.3115
2.5008 -2.7573 10.5581
2.5008 -2.7573 14.7464
```

Computed properties:
**D(E_F)**: 1.310 states/eV per atom
**Formation energy**: -0.13 eV per atom
**Size of the total moment**: 0.0 μB/f.u.

Below is Pr3Tm3In2 after structural relaxation, with properties calculated at the PBE level.

POSCAR file:
```
Pr3Tm3In2
1.0
2.5504 -5.9242 0.0000
2.5504 5.9242 0.0000
0.0000 0.0000 16.8125
Pr Tm In
6 6 4
Cartesian
2.5504 5.3604 10.1419
2.5504 5.3604 15.0768
2.5504 2.6173 12.6094
2.5504 -2.6173 4.2031
2.5504 -5.3604 1.7357
2.5504 -5.3604 6.6706
2.5504 1.6244 9.1145
2.5504 1.6244 16.1042
2.5504 0.7117 4.2031
2.5504 -0.7117 12.6094
2.5504 -1.6244 0.7083
2.5504 -1.6244 7.6980
2.5504 3.0754 2.0944
2.5504 3.0754 6.3118
2.5504 -3.0754 10.5007
2.5504 -3.0754 14.7181
```

Computed properties:
**D(E_F)**: 1.327 states/eV per atom
**Formation energy**: -0.16 eV per atom
**Polymorph energy (0 for the lowest one)**: 70.9 kJ/mol of formula units
**Size of the total moment**: 0.0 μB/f.u.

Below is Pr2Tm2In3 after structural relaxation, with properties calculated at the PBE level.

POSCAR file:
```
Pr2Tm2In3
1.0
3.7884 0.0000 0.0000
1.8878 6.4789 0.0000
0.0072 3.4834 8.4566
Pr Tm In
2 2 3
Cartesian
0.9423 3.3390 3.8033
4.7411 6.6234 4.6533
2.8373 5.5242 1.4862
2.8461 4.4381 6.9704
0.9439 3.2395 0.0000
2.8446 8.3647 6.7397
2.8388 1.5977 1.7168
```

Computed properties:
**D(E_F)**: 0.999 states/eV per atom
**Formation energy**: -0.27 eV per atom
**Polymorph energy (0 for the lowest one)**: 25.9 kJ/mol of formula units
**Size of the total moment**: 0.0 μB/f.u.

Below is Pr15Tm2In2 after structural relaxation, with properties calculated at the PBE level.

POSCAR file:
```
Pr15Tm2In2
1.0
5.5354 3.1959 6.1434
-5.5354 3.1959 6.1434
0.0000 -6.3917 6.1434
Pr Tm In
15 2 2
Cartesian
-5.5354 0.0000 9.2151
-1.6053 -3.6112 6.1434
-2.7677 1.5979 3.0717
-3.9301 0.4153 6.1434
-2.4338 -1.4052 8.4764
1.6053 -3.6112 6.1434
-2.3247 3.1959 6.1434
0.0000 -2.8103 9.9537
-2.4338 1.4052 9.9537
2.7677 1.5979 3.0717
2.4338 -1.4052 8.4764
0.0000 2.8103 8.4764
3.9300 0.4153 6.1434
2.3247 3.1959 6.1434
2.4338 1.4052 9.9537
0.0000 0.0000 5.5289
0.0000 0.0000 12.9012
0.0000 0.0000 1.7880
0.0000 0.0000 16.6421
```

Computed properties:
**D(E_F)**: 1.111 states/eV per atom
**Formation energy**: 0.15 eV per atom
**Size of the total moment**: 0.0 μB/f.u.

Below is Pr4TmIn after structural relaxation, with properties calculated at the PBE level.

POSCAR file:
```
Pr4TmIn
1.0
2.8662 -10.7977 0.0000
2.8662 10.7977 0.0000
0.0000 0.0000 6.5104
Pr Tm In
8 2 2
Cartesian
2.8662 9.8304 3.2552
2.8662 6.7333 4.2189
2.8662 5.4329 1.2017
2.8662 1.3449 2.0743
2.8662 -1.3449 5.3295
2.8662 -5.4329 4.4569
2.8662 -6.7333 0.9637
2.8662 -9.8304 0.0000
2.8662 2.9577 5.1989
2.8662 -2.9577 1.9437
2.8662 8.5520 0.3322
2.8662 -8.5520 3.5874
```

Computed properties:
**D(E_F)**: 1.130 states/eV per atom
**Formation energy**: -0.03 eV per atom
**Polymorph energy (0 for the lowest one)**: 17.4 kJ/mol of formula units
**Size of the total moment**: 0.0 μB/f.u.

Below is Pr3TmIn4 after structural relaxation, with properties calculated at the PBE level.

POSCAR file:
```
Pr3TmIn4
1.0
3.8275 0.0000 0.0000
0.0000 3.8275 0.0000
0.0000 0.0000 15.6754
Pr Tm In
3 1 4
Cartesian
0.0000 0.0000 0.0000
0.0000 0.0000 4.0511
0.0000 0.0000 11.6243
0.0000 0.0000 7.8377
1.9137 1.9137 2.0260
1.9137 1.9137 6.0958
1.9137 1.9137 9.5796
1.9137 1.9137 13.6494
```

Computed properties:
**D(E_F)**: 0.481 states/eV per atom
**Formation energy**: -0.48 eV per atom
**Polymorph energy (0 for the lowest one)**: 0.0 kJ/mol of formula units
**Size of the total moment**: 0.0 μB/f.u.

Below is Pr2Tm2In after structural relaxation, with properties calculated at the PBE level.

POSCAR file:
```
Pr2Tm2In
1.0
5.1405 0.0000 0.0000
-2.5703 4.4518 0.0000
0.0000 0.0000 25.0492
Pr Tm In
6 6 3
Cartesian
0.0000 0.0000 1.6229
0.0000 0.0000 23.4263
0.0000 2.9679 15.0766
0.0000 2.9679 18.3224
2.5703 1.4839 6.7268
2.5703 1.4839 9.9726
0.0000 0.0000 4.9984
0.0000 0.0000 20.0508
0.0000 2.9679 11.7011
0.0000 2.9679 21.6979
2.5703 1.4839 3.3513
2.5703 1.4839 13.3481
0.0000 0.0000 12.5246
0.0000 2.9679 4.1749
2.5703 1.4839 20.8743
```

Computed properties:
**D(E_F)**: 1.548 states/eV per atom
**Formation energy**: 0.39 eV per atom
**Polymorph energy (0 for the lowest one)**: 209.9 kJ/mol of formula units
**Size of the total moment**: 0.0 μB/f.u.

Below is Pr5TmIn5 after structural relaxation, with properties calculated at the PBE level.

POSCAR file:
```
Pr5TmIn5
1.0
9.0551 -2.9244 0.0000
9.0551 2.9244 0.0000
-2.7686 0.0000 6.5409
Pr Tm In
5 1 5
Cartesian
0.0000 0.0000 0.0000
4.7613 0.0000 2.0200
4.1566 0.0000 5.6194
11.1850 0.0000 0.9215
10.5803 0.0000 4.5209
-1.3843 0.0000 3.2705
1.7043 0.0000 2.8949
0.4889 0.0000 5.7629
7.6708 0.0000 3.2705
14.8527 0.0000 0.7780
13.6373 0.0000 3.6460
```

Computed properties:
**D(E_F)**: 1.068 states/eV per atom
**Formation energy**: -0.24 eV per atom
**Size of the total moment**: 0.0 μB/f.u.

Below is Pr5TmIn4 after structural relaxation, with properties calculated at the PBE level.

POSCAR file:
```
Pr5TmIn4
1.0
8.4932 0.0000 0.0000
0.0000 9.1981 0.0000
0.0000 0.0000 8.7902
Pr Tm In
10 2 8
Cartesian
0.0387 0.5124 2.0687
0.0387 4.0866 2.0687
2.1233 6.8986 1.3545
4.2079 0.5124 2.0687
4.2079 4.0866 2.0687
4.2853 5.1115 6.7215
4.2853 8.6857 6.7215
6.3699 2.2995 7.4357
8.4545 5.1115 6.7215
8.4545 8.6857 6.7215
2.1233 2.2995 5.1483
6.3699 6.8986 3.6419
0.7657 2.2995 8.2223
2.1233 5.4064 4.3093
2.1233 8.3908 4.3093
3.4809 2.2995 8.2223
5.0124 6.8986 0.5679
6.3699 0.8073 4.4810
6.3699 3.7917 4.4810
7.7275 6.8986 0.5679
```

Computed properties:
**D(E_F)**: 1.044 states/eV per atom
**Formation energy**: -0.10 eV per atom
**Polymorph energy (0 for the lowest one)**: 256.5 kJ/mol of formula units
**Size of the total moment**: 0.0 μB/f.u.